Material: PmAs2Pb
Method: DFT, GGA-PBE
State: optimized geometry

Lattice parameters (Å, degrees): 7.553 7.553 7.553 33.07 33.07 33.07
Sites, in units of the cell vectors:
Pm 0.000 0.000 0.000
As 0.411 0.411 0.411
As 0.590 0.590 0.590
Pb 0.828 0.828 0.828

Summary:
The value obtained for the energy above the most stable polymorph in this dataset is 0.56 kcal/mol of atoms. Its density of states at the Fermi level is 0.65 states/eV/atom. As for the space group: R3m, No. 160. For the total energy, the calculation gives -19.99 eV/cell.